{"formula": "VCrW", "functional": "PBE", "state": "optimized geometry", "dos_at_fermi_per_ev_cell": 3.53, "delta_e_f_ev_per_atom": -0.019, "magmom_total_mub_per_cell": 0.0, "rho_kg_m3": 11511, "cell": [[4.248, 0.000, 0.000], [-2.124, 3.679, 0.000], [0.000, 0.000, 5.294]], "species": ["Cr", "Cr", "W", "W", "V", "V"], "frac_coords": [[0.667, 0.333, 0.418], [0.333, 0.667, 0.582], [0.000, 0.000, 0.251], [0.000, 0.000, 0.749], [0.667, 0.333, 0.918], [0.333, 0.667, 0.082]]}

{"formula": "RbNd2P2N6", "functional": "PBE", "state": "optimized geometry", "dos_at_fermi_per_ev_cell": 4.90, "formation_energy_uncorrected_ev_per_fu": -7.31, "magmom_total_mub_per_cell": 0.9, "rho_kg_m3": 4007, "cell": [[6.562, 0.001, 0.004], [3.276, 5.692, -0.041], [0.002, -3.205, 5.795]], "species": ["Rb", "Nd", "Nd", "P", "P", "N", "N", "N", "N", "N", "N"], "frac_coords": [[0.500, 0.000, 0.500], [0.822, 0.356, 0.803], [0.178, 0.644, 0.197], [0.154, 0.692, 0.756], [0.846, 0.308, 0.244], [0.400, 0.602, 0.833], [0.001, 0.399, 0.168], [0.069, 0.863, 0.629], [0.999, 0.601, 0.832], [0.931, 0.137, 0.371], [0.600, 0.398, 0.167]]}

{"formula": "AlCdMo2", "functional": "PBE", "state": "optimized geometry", "dos_at_fermi_per_ev_cell": 1.97, "delta_e_f_ev_per_atom": 0.179, "magmom_total_mub_per_cell": 0.0, "rho_kg_m3": 8227, "cell": [[-0.290, -3.517, -2.674], [2.666, 0.302, -0.687], [2.988, -3.082, 3.730]], "species": ["Mo", "Mo", "Al", "Cd"], "frac_coords": [[0.000, 0.994, 0.025], [0.000, 0.506, 0.475], [0.500, 0.250, 0.250], [0.500, 0.750, 0.750]]}

{"formula": "ThTi2Hg", "functional": "PBE", "state": "optimized geometry", "dos_at_fermi_per_ev_cell": 3.14, "delta_e_f_ev_per_atom": 0.080, "magmom_total_mub_per_cell": 0.0, "rho_kg_m3": 10297, "cell": [[3.994, 0.000, 0.000], [0.000, 4.619, 0.000], [0.000, 0.000, 4.619]], "species": ["Hg", "Th", "Ti", "Ti"], "frac_coords": [[0.500, 0.500, 0.500], [0.500, 0.000, 0.000], [0.000, 0.000, 0.500], [0.000, 0.500, 0.000]]}

{"formula": "Pm2Tm5Th", "functional": "PBE", "state": "optimized geometry", "dos_at_fermi_per_ev_cell": 22.91, "delta_e_f_ev_per_atom": 0.029, "magmom_total_mub_per_cell": 0.0, "rho_kg_m3": 9025, "cell": [[-3.493, -1.150, -3.430], [1.763, -6.821, 0.492], [-9.556, -1.726, 10.308]], "species": ["Pm", "Pm", "Pm", "Pm", "Tm", "Tm", "Tm", "Tm", "Tm", "Tm", "Tm", "Tm", "Tm", "Tm", "Th", "Th"], "frac_coords": [[0.500, 0.250, 0.624], [0.500, 0.750, 0.376], [0.500, 0.250, 0.124], [0.500, 0.750, 0.876], [0.000, 0.000, 0.000], [0.000, 0.500, 0.500], [0.000, 0.507, 0.751], [0.000, 0.493, 0.249], [0.000, 0.993, 0.251], [0.000, 0.007, 0.749], [0.500, 0.260, 0.877], [0.500, 0.740, 0.123], [0.500, 0.240, 0.377], [0.500, 0.760, 0.623], [0.000, 0.000, 0.500], [0.000, 0.500, 0.000]]}

{"formula": "TlBiSb2", "functional": "PBE", "state": "optimized geometry", "dos_at_fermi_per_ev_cell": 1.98, "formation_energy_uncorrected_ev_per_fu": 0.61, "magmom_total_mub_per_cell": 0.0, "rho_kg_m3": 9152, "cell": [[-3.592, 1.718, -2.877], [-2.808, -3.866, 1.197], [-1.846, 2.520, 3.808]], "species": ["Sb", "Sb", "Tl", "Bi"], "frac_coords": [[0.000, 0.000, 0.500], [0.000, 0.500, 0.000], [0.500, 0.000, 0.000], [0.500, 0.500, 0.500]]}

{"formula": "AlTc2C", "functional": "PBE", "state": "optimized geometry", "dos_at_fermi_per_ev_cell": 4.04, "delta_e_f_ev_per_atom": 0.888, "magmom_total_mub_per_cell": 0.0, "rho_kg_m3": 8014, "cell": [[0.000, 2.898, 2.898], [2.898, 0.000, 2.898], [2.898, 2.898, 0.000]], "species": ["C", "Tc", "Tc", "Al"], "frac_coords": [[0.000, 0.000, 0.000], [0.250, 0.250, 0.250], [0.750, 0.750, 0.750], [0.500, 0.500, 0.500]]}

{"formula": "NbInMo3", "functional": "PBE", "state": "optimized geometry", "dos_at_fermi_per_ev_cell": 10.07, "delta_e_f_ev_per_atom": 2.384, "magmom_total_mub_per_cell": 0.0, "rho_kg_m3": 7371, "cell": [[-0.617, 4.507, -1.580], [-2.451, -1.666, -3.795], [-4.098, 0.318, 2.508]], "species": ["Mo", "Mo", "Mo", "Nb", "In"], "frac_coords": [[0.000, 0.500, 0.000], [0.000, 0.000, 0.500], [0.500, 0.000, 0.000], [0.500, 0.500, 0.500], [0.000, 0.000, 0.000]]}

{"formula": "LaAlAu4", "functional": "PBE", "state": "optimized geometry", "dos_at_fermi_per_ev_cell": 1.41, "delta_e_f_ev_per_atom": -0.400, "magmom_total_mub_per_cell": 0.0, "rho_kg_m3": 12482, "cell": [[0.000, 3.988, 3.988], [3.988, 0.000, 3.988], [3.988, 3.988, 0.000]], "species": ["La", "Al", "Au", "Au", "Au", "Au"], "frac_coords": [[0.750, 0.750, 0.750], [0.000, 0.000, 0.000], [0.877, 0.374, 0.374], [0.374, 0.374, 0.877], [0.374, 0.877, 0.374], [0.374, 0.374, 0.374]]}

{"formula": "MnRe2Mo", "functional": "PBE", "state": "optimized geometry", "dos_at_fermi_per_ev_cell": 4.38, "delta_e_f_ev_per_atom": 0.160, "magmom_total_mub_per_cell": 1.4, "rho_kg_m3": 14991, "cell": [[4.753, 0.013, 0.000], [1.605, 4.473, 0.000], [-3.179, -2.243, 2.729]], "species": ["Mn", "Mo", "Re", "Re"], "frac_coords": [[0.250, 0.750, 0.500], [0.750, 0.250, 0.500], [0.000, 0.000, 0.000], [0.500, 0.500, 0.000]]}

{"formula": "BiPd3Au", "functional": "PBE", "state": "optimized geometry", "dos_at_fermi_per_ev_cell": 6.52, "delta_e_f_ev_per_atom": 0.105, "magmom_total_mub_per_cell": 0.0, "rho_kg_m3": 11776, "cell": [[5.121, 0.000, 0.000], [0.000, 6.791, -0.001], [0.000, -3.394, 5.882]], "species": ["Bi", "Bi", "Pd", "Pd", "Pd", "Pd", "Pd", "Pd", "Au", "Au"], "frac_coords": [[0.250, 0.334, 0.666], [0.750, 0.666, 0.334], [0.250, 0.798, 0.202], [0.750, 0.202, 0.798], [0.250, 0.798, 0.596], [0.750, 0.202, 0.404], [0.250, 0.404, 0.202], [0.750, 0.596, 0.798], [0.000, 0.000, 0.000], [0.500, 0.000, 0.000]]}